DFT (GGA-PBE) results for NdHf2Fe9 after structural relaxation.

Its formation energy is -0.170 eV per atom.

It has space group R-3m (No. 166, hexagonal axes), with a = 5.0089 Å, b = 5.0089 Å, c = 23.9043 Å, α = 90.00°, β = 90.00° and γ = 120.00°. The inequivalent atoms are Nd at (0.0000, 0.0000, 0.0000), Hf at (0.0000, 0.0000, 0.1433), Fe at (0.0000, 0.0000, 0.3329), Fe at (0.0000, 0.0000, 0.5000) and Fe at (0.0030, 0.5015, 0.9141).

DFT (GGA-PBE) results for NdHfFe4 after structural relaxation.

Its formation energy is -0.047 eV per atom.

It has space group F-43m (No. 216), with a = 7.203 Å, b = 7.203 Å, c = 7.203 Å, α = 90.00°, β = 90.00° and γ = 90.00°. The inequivalent atoms are Nd at (0.000, 0.000, 0.000), Hf at (0.250, 0.250, 0.750) and Fe at (0.124, 0.124, 0.376).

DFT (GGA-PBE) results for NdHfFe10 after structural relaxation.

Its formation energy is -0.021 eV per atom.

It has space group Pmmm (No. 47), with a = 3.961 Å, b = 4.954 Å, c = 8.576 Å, α = 90.00°, β = 90.00° and γ = 90.00°. The inequivalent atoms are Nd at (0.000, 0.000, 0.000), Hf at (0.000, 0.500, 0.500), Fe at (0.000, 0.000, 0.342), Fe at (0.000, 0.500, 0.178), Fe at (0.500, 0.000, 0.500), Fe at (0.500, 0.255, 0.261) and Fe at (0.500, 0.500, 0.000).

DFT (GGA-PBE) results for Hf4Fe3Ni after structural relaxation.

Its formation energy is -0.335 eV per atom.

It has space group Pmmm (No. 47), with a = 3.114 Å, b = 4.476 Å, c = 8.934 Å, α = 90.00°, β = 90.00° and γ = 90.00°. The inequivalent atoms are Hf at (0.000, 0.000, 0.000), Hf at (0.000, 0.000, 0.500), Hf at (0.000, 0.500, 0.247), Fe at (0.500, 0.000, 0.249), Fe at (0.500, 0.500, 0.000) and Ni at (0.500, 0.500, 0.500).

DFT (GGA-PBE) results for HfFe2Ni after structural relaxation.

Its formation energy is 0.594 eV per atom.

It has space group I4_1/amd (No. 141, origin choice 2), with a = 4.022 Å, b = 4.022 Å, c = 16.303 Å, α = 90.00°, β = 90.00° and γ = 90.00°. The inequivalent atoms are Hf at (0.000, 0.250, 0.375), Fe at (0.000, 0.000, 0.000) and Ni at (0.000, 0.250, 0.875).

DFT (GGA-PBE) results for HfFe2Ni2 after structural relaxation.

Its formation energy is -0.022 eV per atom.

It has space group P4/mbm (No. 127), with a = 7.028 Å, b = 7.028 Å, c = 2.660 Å, α = 90.00°, β = 90.00° and γ = 90.00°. The inequivalent atoms are Hf at (0.000, 0.000, 0.000), Fe at (0.119, 0.381, 0.000) and Ni at (0.175, 0.675, 0.500).

DFT (GGA-PBE) results for HfFe2Ni2 after structural relaxation.

Its formation energy is -0.030 eV per atom.

It has space group P4/mbm (No. 127), with a = 6.955 Å, b = 6.955 Å, c = 2.739 Å, α = 90.00°, β = 90.00° and γ = 90.00°. The inequivalent atoms are Hf at (0.000, 0.000, 0.000), Fe at (0.169, 0.331, 0.500) and Ni at (0.126, 0.626, 0.000).

DFT (GGA-PBE) results for HfFeNi after structural relaxation.

Its formation energy is -0.268 eV per atom.

It has space group I4/mmm (No. 139), with a = 3.620 Å, b = 3.620 Å, c = 13.491 Å, α = 90.00°, β = 90.00° and γ = 90.00°. The inequivalent atoms are Hf at (0.000, 0.000, 0.170), Fe at (0.000, 0.500, 0.000) and Ni at (0.000, 0.000, 0.373).

DFT (GGA-PBE) results for HfFe2Ni9 after structural relaxation.

Its formation energy is -0.206 eV per atom.

It has space group P4/mmm (No. 123), with a = 3.619 Å, b = 3.619 Å, c = 10.779 Å, α = 90.00°, β = 90.00° and γ = 90.00°. The inequivalent atoms are Hf at (0.000, 0.000, 0.000), Fe at (0.000, 0.000, 0.340), Ni at (0.000, 0.500, 0.179), Ni at (0.000, 0.500, 0.500), Ni at (0.500, 0.500, 0.000) and Ni at (0.500, 0.500, 0.339).

DFT (GGA-PBE) results for Hf8FeNi2 after structural relaxation.

Its formation energy is -0.169 eV per atom.

It has space group C2/m (No. 12), with a = 15.338 Å, b = 4.619 Å, c = 6.007 Å, α = 90.00°, β = 99.26° and γ = 90.00°. The inequivalent atoms are Hf at (0.032, 0.000, 0.256), Hf at (0.088, 0.500, 0.941), Hf at (0.163, 0.500, 0.464), Hf at (0.195, 0.000, 0.824), Fe at (0.000, 0.500, 0.500) and Ni at (0.201, 0.000, 0.238).

DFT (GGA-PBE) results for HfFe2Ni after structural relaxation.

Its formation energy is -0.009 eV per atom.

It has space group Fm-3m (No. 225), with a = 5.989 Å, b = 5.989 Å, c = 5.989 Å, α = 90.00°, β = 90.00° and γ = 90.00°. The inequivalent atoms are Hf at (0.000, 0.000, 0.000), Fe at (0.250, 0.250, 0.250) and Ni at (0.000, 0.000, 0.500).

DFT (GGA-PBE) results for HfFeNi2 after structural relaxation.

Its formation energy is 0.186 eV per atom.

It has space group I-42d (No. 122), with a = 3.661 Å, b = 3.661 Å, c = 17.184 Å, α = 90.00°, β = 90.00° and γ = 90.00°. The inequivalent atoms are Hf at (0.000, 0.000, 0.000), Fe at (0.000, 0.000, 0.500) and Ni at (0.218, 0.250, 0.625).

DFT (GGA-PBE) results for HfFe2Ni after structural relaxation.

Its formation energy is 0.213 eV per atom.

It has space group I-42d (No. 122), with a = 3.571 Å, b = 3.571 Å, c = 18.304 Å, α = 90.00°, β = 90.00° and γ = 90.00°. The inequivalent atoms are Hf at (0.000, 0.000, 0.000), Fe at (0.231, 0.250, 0.625) and Ni at (0.000, 0.000, 0.500).

DFT (GGA-PBE) results for Hf4FeNi after structural relaxation.

Its formation energy is -0.261 eV per atom.

It has space group I422 (No. 97), with a = 6.276 Å, b = 6.276 Å, c = 5.531 Å, α = 90.00°, β = 90.00° and γ = 90.00°. The inequivalent atoms are Hf at (0.175, 0.325, 0.250), Fe at (0.000, 0.000, 0.500) and Ni at (0.000, 0.000, 0.000).

DFT (GGA-PBE) results for Hf3FeNi after structural relaxation.

Its formation energy is 0.447 eV per atom.

It has space group Pm-3m (No. 221), with a = 4.700 Å, b = 4.700 Å, c = 4.700 Å, α = 90.00°, β = 90.00° and γ = 90.00°. The inequivalent atoms are Hf at (0.000, 0.000, 0.500), Fe at (0.000, 0.000, 0.000) and Ni at (0.500, 0.500, 0.500).

DFT (GGA-PBE) results for HfFeNi6 after structural relaxation.

Its formation energy is -0.268 eV per atom.

It has space group Cmmm (No. 65), with a = 7.267 Å, b = 10.315 Å, c = 10.312 Å, α = 90.00°, β = 90.00° and γ = 90.00°. The inequivalent atoms are Hf at (0.000, 0.000, 0.247), Hf at (0.000, 0.246, 0.500), Fe at (0.000, 0.244, 0.000), Fe at (0.000, 0.500, 0.245), Ni at (0.000, 0.000, 0.000), Ni at (0.000, 0.000, 0.500), Ni at (0.000, 0.254, 0.242), Ni at (0.000, 0.500, 0.000), Ni at (0.000, 0.500, 0.500), Ni at (0.242, 0.372, 0.120) and Ni at (0.242, 0.377, 0.370).

DFT (GGA-PBE) results for HfFeNi3 after structural relaxation.

Its formation energy is 1.616 eV per atom.

It has space group Pm-3m (No. 221), with a = 4.469 Å, b = 4.469 Å, c = 4.469 Å, α = 90.00°, β = 90.00° and γ = 90.00°. The inequivalent atoms are Hf at (0.000, 0.000, 0.000), Fe at (0.500, 0.500, 0.500) and Ni at (0.000, 0.000, 0.500).

DFT (GGA-PBE) results for Hf3FeNi12 after structural relaxation.

Its formation energy is -0.400 eV per atom.

It has space group P4/mmm (No. 123), with a = 3.690 Å, b = 3.690 Å, c = 14.699 Å, α = 90.00°, β = 90.00° and γ = 90.00°. The inequivalent atoms are Hf at (0.000, 0.000, 0.000), Hf at (0.000, 0.000, 0.258), Fe at (0.000, 0.000, 0.500), Ni at (0.000, 0.500, 0.128), Ni at (0.000, 0.500, 0.385), Ni at (0.500, 0.500, 0.000), Ni at (0.500, 0.500, 0.255) and Ni at (0.500, 0.500, 0.500).

DFT (GGA-PBE) results for HfFeNi3 after structural relaxation.

Its formation energy is 0.557 eV per atom.

It has space group Pm-3m (No. 221), with a = 4.253 Å, b = 4.253 Å, c = 4.253 Å, α = 90.00°, β = 90.00° and γ = 90.00°. The inequivalent atoms are Hf at (0.000, 0.000, 0.000), Fe at (0.500, 0.500, 0.500) and Ni at (0.000, 0.500, 0.500).

DFT (GGA-PBE) results for HfFe4Ni after structural relaxation.

Its formation energy is -0.125 eV per atom.

It has space group F-43m (No. 216), with a = 6.766 Å, b = 6.766 Å, c = 6.766 Å, α = 90.00°, β = 90.00° and γ = 90.00°. The inequivalent atoms are Hf at (0.000, 0.000, 0.000), Fe at (0.125, 0.125, 0.375) and Ni at (0.250, 0.250, 0.750).

DFT (GGA-PBE) results for HfFe2Ni2 after structural relaxation.

Its formation energy is -0.036 eV per atom.

It has space group I4/mmm (No. 139), with a = 3.629 Å, b = 3.629 Å, c = 10.380 Å, α = 90.00°, β = 90.00° and γ = 90.00°. The inequivalent atoms are Hf at (0.000, 0.000, 0.000), Fe at (0.000, 0.000, 0.394) and Ni at (0.000, 0.500, 0.250).

DFT (GGA-PBE) results for Hf4FeNi after structural relaxation.

Its formation energy is 0.152 eV per atom.

It has space group I4_1md (No. 109), with a = 8.592 Å, b = 8.592 Å, c = 6.862 Å, α = 90.00°, β = 90.00° and γ = 90.00°. The inequivalent atoms are Hf at (0.000, 0.197, 0.000), Hf at (0.000, 0.229, 0.504), Fe at (0.000, 0.000, 0.279) and Ni at (0.000, 0.000, 0.722).